Sn5Te4 after structural relaxation. Source: the Alexandria database, functional GGA-PBE.

Summary:
Symmetry: I4/m (87)
E_form (uncorrected), eV per atom: -0.109

a = 4.3815 Å, b = 9.0393 Å, c = 9.0393 Å
α = 86.63°, β = 75.97°, γ = 75.97°
With the nearest neighbours (Å) after each atom.
Sites, in units of the cell vectors:
1 Sn 0.6141 0.6967 0.0751  3 Te 3.05-3.10
2 Sn 0.6892 0.9249 0.6967  3 Te 3.05-3.10
3 Sn 0.3108 0.0751 0.3033  3 Te 3.05-3.10
4 Sn 0.3859 0.3033 0.9249  3 Te 3.05-3.10
5 Sn 0.0000 0.0000 0.0000  4 Te 3.41, 8 Sn 3.51
6 Te 0.7426 0.3535 0.1613  4 Sn 3.05-3.41
7 Te 0.9039 0.8387 0.3535  4 Sn 3.05-3.41
8 Te 0.0961 0.1613 0.6465  4 Sn 3.05-3.41
9 Te 0.2574 0.6465 0.8387  4 Sn 3.05-3.41